Crystalline Cs2TlAgCl6 at its relaxed geometry. Source: OQMD via LeMat-Bulk, functional PBE.

Cell: 7.5585 7.5585 18.5314 Å, 90.00 90.00 120.00°
Space group R-3 (No. 148, hexagonal axes)
One atom of each set of equivalent atoms:
Cs  0.0000  0.0000  0.2502 [6 per cell]
Tl  0.0000  0.0000  0.5000 [3 per cell]
Ag  0.0000  0.0000  0.0000 [3 per cell]
Cl  0.0007  0.4993  0.2497 [18 per cell]

Its electronic total energy is -90.62 eV for the cell shown.